1.
Compound: Th2C
Source: the Alexandria database
Functional: PBE-GGA
Structure: relaxed

Computed properties:
The energy is -8.1982 eV/atom. The formation energy comes out at -0.177 eV per atom.

Cell: 3.670 3.671 6.303 Å, 90.02 90.00 120.00°
Site moments in Bohr magnetons follow the coordinates.
Fractional positions:
Th1 0.333 0.667 0.732  0.11
Th2 0.667 0.333 0.268  0.11
C1 0.000 0.000 0.500  0.01



2.
Compound: SrPAu
Source: the Alexandria database
Functional: PBE-GGA
Structure: relaxed

Computed properties:
The energy is -4.2161 eV/atom. The formation energy comes out at -0.760 eV per atom.

Cell: 6.128 6.129 4.487 Å, 111.47 111.47 75.96°
Fractional positions:
Sr1 0.093 0.386 0.181
Sr2 0.593 0.886 0.681
Au1 0.481 0.498 0.931
Au2 0.705 0.275 0.431
P1 0.032 0.947 0.431
P2 0.154 0.825 0.931



3.
Compound: Be2SbP
Source: the Alexandria database
Functional: PBE-GGA
Structure: relaxed

Computed properties:
The energy is -3.7042 eV/atom. As for the uncorrected formation energy: 0.542 eV/atom. The polymorph energy (0 for the lowest one) is 496 meV/atom.

Cell: 5.123 4.347 3.893 Å, 73.29 74.21 117.87°
Fractional positions:
P1 0.000 0.500 0.500
Be1 0.000 0.000 0.000
Be2 0.500 0.000 0.500
Sb1 0.500 0.500 0.000



What is the energy in the second record? -4.2161 eV/atom



Which value of energy does entry 1 give? -8.1982 eV/atom